A relaxed structure of Pr2TlSb. Source: Alexandria, functional GGA-PBE.

It has space group P1 (No. 1), with a = 4.303 Å, b = 7.515 Å, c = 8.861 Å, α = 106.48°, β = 90.02° and γ = 90.00°. The distinct sites, in fractional coordinates, are Pr at (0.000, 0.000, 0.000), Pr at (0.001, 0.184, 0.548), Pr at (0.521, 0.684, 0.548), Pr at (0.522, 0.500, 0.000), Tl at (0.037, 0.423, 0.273), Tl at (0.485, 0.921, 0.273), Sb at (0.021, 0.593, 0.777) and Sb at (0.502, 0.093, 0.777).

The value obtained for the energy relative to the elements, uncorrected is -0.634 eV/atom. As for the crystal system: triclinic. The distance to the lowest polymorph of the same formula is 136.0 meV per atom. As for the volume: 34.3 Å³/atom. For the total moment, the calculation gives 0.00 μB/f.u.